# YCd3Te

YCd3Te at its PBEsol-relaxed geometry (meta-GGA SCAN, Alexandria via LeMat-Bulk).

Summary:
**Symmetry**: Pm-3m, No. 221
**Uncorrected formation energy**: 534 meV per atom
**Density of states at the Fermi level**: 4.160 states/eV per cell
**VASP energy**: -30.733 eV per atom
**Size of the total moment**: 0.00 μB per formula unit

```
data_YCd3Te
_chemical_formula_sum 'Y1 Cd3 Te1'
_cell_length_a 5.4353
_cell_length_b 5.4353
_cell_length_c 5.4353
_cell_angle_alpha 90.00
_cell_angle_beta 90.00
_cell_angle_gamma 90.00
_space_group_name_H-M_alt 'P 1'
_space_group_IT_number 1
loop_
_space_group_symop_operation_xyz
'x,y,z'
loop_
_atom_site_label
_atom_site_type_symbol
_atom_site_fract_x
_atom_site_fract_y
_atom_site_fract_z
Y1 Y 0.0000 0.0000 0.0000
Cd1 Cd 0.0000 0.5000 0.5000
Cd2 Cd 0.5000 0.0000 0.5000
Cd3 Cd 0.5000 0.5000 0.0000
Te1 Te 0.5000 0.5000 0.5000
```